The following is a DFT calculation (PBE) of a geometry-optimized Pm4Hg3Au5 structure. Values from VASP.

Values from the calculation:
Formation energy from the elements = -0.51 eV/atom
Total moment = 0.00 μB/f.u.
Space group = No. 12

The structure in Quantum ESPRESSO input format:
```
&SYSTEM
  ibrav = 0, nat = 12, ntyp = 3
/
ATOMIC_SPECIES
Au 196.97 Au.upf
Hg 200.59 Hg.upf
Pm 145.00 Pm.upf
CELL_PARAMETERS angstrom
-0.1827 3.5867 3.7487
-3.0996 -4.2065 7.4684
4.1350 -3.9509 7.5763
ATOMIC_POSITIONS crystal
Au 0.7247 0.6266 0.9241
Hg 0.4308 0.9584 0.1800
Au 0.2753 0.3734 0.0759
Pm 0.8944 0.2588 0.9524
Pm 0.3069 0.7545 0.6317
Au 0.1421 0.1070 0.6087
Pm 0.1056 0.7412 0.0476
Au 0.5000 0.5000 0.5000
Hg 0.5692 0.0416 0.8200
Pm 0.6931 0.2455 0.3683
Au 0.8579 0.8930 0.3913
Hg 0.0000 0.5000 0.5000
```